[1]
# K3U3OsS8

A relaxed K3U3OsS8 crystal (PBE-GGA, the Alexandria database).

extended XYZ file:
```
15
Lattice="3.776 2.180 7.787 -3.776 2.180 7.787 0.000 -4.360 7.787" Properties=species:S:1:pos:R:3 pbc="T T T"
K -1.888 -1.090 7.787
K -1.888 1.090 15.574
K 0.000 2.180 7.787
U -3.776 0.000 11.680
U -1.888 1.090 3.893
U 1.888 1.090 3.893
Os 0.000 0.000 11.680
S 0.000 0.000 5.535
S -1.737 -1.003 13.171
S 0.000 -2.006 10.189
S -1.737 1.003 10.189
S 1.737 -1.003 13.171
S 0.000 2.006 13.171
S 1.737 1.003 10.189
S 0.000 0.000 17.825
```

**Fermi-level density of states**: 0.82 states/eV/atom
**Total energy**: -6.590 eV per atom
**Total moment**: 0.47 μB/atom

=====

[2]
# KOsWS2

A relaxed KOsWS2 crystal (PBE-GGA, the Alexandria database).

extended XYZ file:
```
5
Lattice="4.961 0.000 0.000 0.000 4.961 0.000 0.000 0.000 4.859" Properties=species:S:1:pos:R:3 pbc="T T T"
K 0.000 0.000 0.000
Os 2.481 2.481 2.429
W 0.000 0.000 2.429
S 0.000 2.481 0.000
S 2.481 0.000 0.000
```

**Fermi-level density of states**: 1.54 states/eV/atom
**Total energy**: -3.359 eV per atom
**Total moment**: 0.66 μB/atom

=====

[3]
# K2YOsS

A relaxed K2YOsS crystal (PBE-GGA, the Alexandria database).

extended XYZ file:
```
5
Lattice="7.360 0.000 0.000 0.000 7.360 0.000 0.000 0.000 4.999" Properties=species:S:1:pos:R:3 pbc="T T T"
K 0.000 3.680 0.000
K 3.680 0.000 0.000
Y 0.000 0.000 0.000
Os 3.680 3.680 2.500
S 0.000 0.000 2.500
```

**Fermi-level density of states**: 1.47 states/eV/atom
**Total energy**: -3.670 eV per atom
**Total moment**: 0.60 μB/atom

=====

[4]
# KSb3Os

A relaxed KSb3Os crystal (PBE-GGA, the Alexandria database).

extended XYZ file:
```
5
Lattice="5.307 0.000 0.000 0.000 5.307 0.000 0.000 0.000 5.307" Properties=species:S:1:pos:R:3 pbc="T T T"
K 0.000 0.000 0.000
Sb 0.000 2.653 2.653
Sb 2.653 0.000 2.653
Sb 2.653 2.653 0.000
Os 2.653 2.653 2.653
```

**Fermi-level density of states**: 0.67 states/eV/atom
**Total energy**: -4.527 eV per atom
**Total moment**: 0.00 μB/atom
**Polymorph energy (0 for the lowest one)**: 0.0 meV per atom

=====

[5]
# K3SbOs

A relaxed K3SbOs crystal (PBE-GGA, the Alexandria database).

extended XYZ file:
```
5
Lattice="6.142 0.000 0.000 0.000 6.142 0.000 0.000 0.000 6.142" Properties=species:S:1:pos:R:3 pbc="T T T"
K 0.000 0.000 3.071
K 0.000 3.071 0.000
K 3.071 0.000 0.000
Sb 3.071 3.071 3.071
Os 0.000 0.000 0.000
```

**Fermi-level density of states**: 1.20 states/eV/atom
**Total energy**: -2.552 eV per atom
**Total moment**: 0.80 μB/atom
**Polymorph energy (0 for the lowest one)**: 0.0 meV per atom

=====

[6]
# KSbOs

A relaxed KSbOs crystal (PBE-GGA, the Alexandria database).

extended XYZ file:
```
12
Lattice="7.048 0.000 0.000 0.000 7.048 0.000 0.000 0.000 7.048" Properties=species:S:1:pos:R:3 pbc="T T T"
K 0.000 0.000 0.000
K 0.000 3.524 3.524
K 3.524 0.000 3.524
K 3.524 3.524 0.000
Sb 1.762 1.762 5.286
Sb 1.762 5.286 1.762
Sb 5.286 1.762 1.762
Sb 5.286 5.286 5.286
Os 1.762 1.762 1.762
Os 1.762 5.286 5.286
Os 5.286 1.762 5.286
Os 5.286 5.286 1.762
```

**Fermi-level density of states**: 2.85 states/eV/atom
**Total energy**: -3.308 eV per atom
**Total moment**: 0.75 μB/atom
**Polymorph energy (0 for the lowest one)**: 1758.6 meV per atom

=====

[7]
# KSbOs

A relaxed KSbOs crystal (PBE-GGA, the Alexandria database).

extended XYZ file:
```
3
Lattice="3.314 0.000 0.000 -1.657 2.870 0.000 0.000 0.000 7.704" Properties=species:S:1:pos:R:3 pbc="T T T"
K 0.000 0.000 0.000
Sb 1.657 0.957 4.589
Os 0.000 1.914 2.777
```

**Fermi-level density of states**: 0.94 states/eV/atom
**Total energy**: -4.740 eV per atom
**Total moment**: 0.15 μB/atom
**Polymorph energy (0 for the lowest one)**: 326.4 meV per atom

=====

[8]
# KSbOs

A relaxed KSbOs crystal (PBE-GGA, the Alexandria database).

extended XYZ file:
```
6
Lattice="3.388 0.000 0.000 0.000 3.388 0.000 0.000 0.000 13.011" Properties=species:S:1:pos:R:3 pbc="T T T"
K 0.000 0.000 0.000
K 1.694 1.694 6.506
Sb 0.000 0.000 3.704
Sb 1.694 1.694 10.209
Os 0.000 0.000 9.028
Os 1.694 1.694 2.522
```

**Fermi-level density of states**: 0.05 states/eV/atom
**Total energy**: -5.067 eV per atom
**Total moment**: 0.00 μB/atom
**Polymorph energy (0 for the lowest one)**: 0.0 meV per atom

=====

Which formula does entry 4 have? KSb3Os

=====

Among the records above, which one has the lowest total energy? K3U3OsS8

=====

Look up the total energy of the fifth one. -2.552 eV per atom